A relaxed Li2TcAu2 crystal, computed with GGA-PBEsol.

Unit cell a=4.861 b=4.861 c=4.861 alpha=125.18 beta=125.18 gamma=81.24
Atoms (fractional coordinates):
Li: 0.132 0.132 0.000
Li: 0.868 0.868 0.000
Tc: 0.500 0.500 0.000
Au: 0.250 0.750 0.500
Au: 0.750 0.250 0.500

Calculated values
The space-group type is I4/mmm (139). Its energy relative to the elements is 0.375 eV per atom. As for the electronic total energy: -21.18 eV per cell.